Version i
## Tb2PrMg (PBE)

Data for a relaxed Tb2PrMg crystal.

Cell and atoms, written as POSCAR:
```
Tb2PrMg
1.0
0.000 3.947 3.947
3.947 0.000 3.947
3.947 3.947 0.000
Tb Pr Mg
2 1 1
direct
0.250 0.250 0.250
0.750 0.750 0.750
0.000 0.000 0.000
0.500 0.500 0.500
```

Version ii
## Tb2PrMg (PBE)

Data for a relaxed Tb2PrMg crystal.

Cell and atoms, written as POSCAR:
```
Tb2PrMg
1.0
1.783 1.029 11.396
-1.783 1.029 11.396
0.000 -2.058 11.396
Tb Pr Mg
2 1 1
direct
0.000 0.000 0.000
0.160 0.160 0.160
0.580 0.580 0.580
0.747 0.747 0.747
```

Version iii
## Tb2PrMg (PBE)

Data for a relaxed Tb2PrMg crystal.

Cell and atoms, written as POSCAR:
```
Tb2PrMg
1.0
-2.591 2.591 9.224
2.591 -2.591 9.224
2.591 2.591 -9.224
Tb Pr Mg
4 2 2
direct
0.000 0.500 0.500
0.135 0.135 0.000
0.500 0.000 0.500
0.865 0.865 0.000
0.368 0.368 0.000
0.632 0.632 0.000
0.250 0.750 0.500
0.750 0.250 0.500
```

Stability check: which of them is least stable? version i.

Version i
## Tb6PrMg (PBE)

Data for a relaxed Tb6PrMg crystal.

Cell and atoms, written as POSCAR:
```
Tb6PrMg
1.0
5.606 -2.517 0.000
5.606 2.517 0.000
-4.384 0.000 8.906
Tb Pr Mg
6 1 1
direct
0.003 0.003 0.248
0.251 0.251 0.630
0.255 0.255 0.122
0.745 0.745 0.878
0.749 0.749 0.370
0.997 0.997 0.752
0.500 0.500 0.500
0.500 0.500 0.000
```

Version ii
## Tb6PrMg (PBE)

Data for a relaxed Tb6PrMg crystal.

Cell and atoms, written as POSCAR:
```
Tb6PrMg
1.0
4.723 2.727 3.308
-4.723 2.727 3.308
0.000 -5.454 3.308
Tb Pr Mg
6 1 1
direct
0.047 0.536 0.759
0.241 0.953 0.464
0.464 0.241 0.953
0.536 0.759 0.047
0.759 0.047 0.536
0.953 0.464 0.241
0.500 0.500 0.500
0.000 0.000 0.000
```

Stability check: which of them is least stable? version ii.